Here is an optimized crystal structure of RbOs3Pb5 from OQMD via LeMat-Bulk. Energies are from PBE.

Cell lengths 5.648, 5.648, 8.945 Å; angles 90.00, 90.00, 120.00 degrees
Fractional coordinates of all 9 atoms:
Os  0.500  0.000  0.500
Os  0.000  0.500  0.500
Os  0.500  0.500  0.500
Pb  0.667  0.333  0.233
Pb  0.333  0.667  0.233
Pb  0.000  0.000  0.500
Pb  0.667  0.333  0.767
Pb  0.333  0.667  0.767
Rb  0.000  0.000  0.000

Values from the calculation:
E_tot = -49.03 eV for the cell shown
Magnetic moment = 0.284 μB per atom